Version a
This record from Alexandria via LeMat-Bulk describes crystalline BeInW at its relaxed geometry. The functional is PBE.

Geometry as extended XYZ:
```
3
Lattice="5.410 0.007 -0.003 3.586 4.050 0.003 -4.337 -2.384 2.183" Properties=species:S:1:pos:R:3 pbc="T T T"
In 3.028 1.365 0.000
Be 0.264 0.119 0.000
W 5.705 2.573 0.000
```


Version b
This record from Alexandria via LeMat-Bulk describes crystalline BeInW at its relaxed geometry. The functional is PBE.

Geometry as extended XYZ:
```
3
Lattice="6.703 -0.014 0.011 5.942 2.707 -0.026 0.761 -0.595 2.655" Properties=species:S:1:pos:R:3 pbc="T T T"
W 8.478 1.540 0.922
Be 0.887 -0.560 2.627
In 4.801 0.523 1.748
```


Most favorable structure: version a. The second most favorable one is 106 meV per atom above it.